No. 1
Computed, not measured: a relaxed structure of ScRu2Se at the GGA-PBE level of DFT.

Cell lengths 4.472, 3.150, 4.692 Å; angles 86.00, 90.00, 90.00 degrees
Fractional coordinates of all 4 atoms:
Ru  0.000  0.930  0.998
Ru  0.000  0.570  0.502
Sc  0.500  0.250  0.250
Se  0.500  0.750  0.750

Calculated total energy in eV per atom: -7.24
Uncorrected formation energy in meV per atom: -143

No. 2
Computed, not measured: a relaxed structure of ScRuSe at the GGA-PBE level of DFT.

Cell lengths 4.369, 4.369, 4.369 Å; angles 60.00, 60.00, 60.00 degrees
Fractional coordinates of all 3 atoms:
Ru  0.500  0.500  0.500
Sc  0.250  0.250  0.250
Se  0.000  0.000  0.000

Energy above the most stable polymorph in this dataset in eV per formula unit: 1.75
Calculated total energy in eV per atom: -6.46
Uncorrected formation energy in meV per atom: -100

No. 3
Computed, not measured: a relaxed structure of Sc2RuSe at the GGA-PBE level of DFT.

Cell lengths 8.878, 8.878, 8.878 Å; angles 21.24, 21.24, 21.24 degrees
Site moments in Bohr magnetons follow the coordinates.
Fractional coordinates of all 4 atoms:
Ru  0.753  0.753  0.753  -0.08
Sc  0.014  0.014  0.014  0.04
Sc  0.239  0.239  0.239  0.28
Se  0.494  0.494  0.494  -0.01

Calculated total energy in eV per atom: -6.46
Uncorrected formation energy in meV per atom: -109

No. 4
Computed, not measured: a relaxed structure of ScRu4Se at the GGA-PBE level of DFT.

Cell lengths 5.182, 5.182, 5.182 Å; angles 60.00, 60.00, 60.00 degrees
Fractional coordinates of all 6 atoms:
Sc  0.750  0.750  0.750
Ru  0.877  0.374  0.374
Ru  0.374  0.374  0.877
Ru  0.374  0.877  0.374
Ru  0.374  0.374  0.374
Se  0.000  0.000  0.000

Calculated total energy in eV per atom: -7.58
Uncorrected formation energy in meV per atom: 241

No. 5
Computed, not measured: a relaxed structure of ScRu2Se at the GGA-PBE level of DFT.

Cell lengths 8.256, 8.256, 8.256 Å; angles 21.70, 21.70, 21.70 degrees
Fractional coordinates of all 4 atoms:
Ru  0.002  0.002  0.002
Ru  0.250  0.250  0.250
Sc  0.503  0.503  0.503
Se  0.744  0.744  0.744

Calculated total energy in eV per atom: -7.03
Uncorrected formation energy in meV per atom: 57

No. 6
Computed, not measured: a relaxed structure of Sc4RuSe at the GGA-PBE level of DFT.

Cell lengths 5.338, 6.034, 7.872 Å; angles 90.00, 107.35, 90.00 degrees
Fractional coordinates of all 12 atoms:
Sc  0.272  0.250  0.354
Sc  0.728  0.750  0.646
Sc  0.824  0.250  0.921
Sc  0.176  0.750  0.079
Sc  0.776  0.994  0.305
Sc  0.224  0.494  0.695
Sc  0.776  0.506  0.305
Sc  0.224  0.006  0.695
Ru  0.739  0.250  0.584
Ru  0.261  0.750  0.416
Se  0.362  0.250  0.030
Se  0.638  0.750  0.970

Energy above the most stable polymorph in this dataset in eV per formula unit: 0.00
Calculated total energy in eV per atom: -7.06
Uncorrected formation energy in meV per atom: -709

No. 7
Computed, not measured: a relaxed structure of ScRuSe2 at the GGA-PBE level of DFT.

Cell lengths 5.002, 3.643, 4.066 Å; angles 90.00, 90.00, 90.00 degrees
Fractional coordinates of all 4 atoms:
Ru  0.000  0.375  0.495
Sc  0.500  0.875  0.770
Se  0.000  0.875  0.935
Se  0.500  0.375  0.300

Energy above the most stable polymorph in this dataset in eV per formula unit: 0.00
Calculated total energy in eV per atom: -6.39
Uncorrected formation energy in meV per atom: -741

No. 8
Computed, not measured: a relaxed structure of ScRuSe4 at the GGA-PBE level of DFT.

Cell lengths 5.562, 5.562, 5.562 Å; angles 60.00, 60.00, 60.00 degrees
Site moments in Bohr magnetons follow the coordinates.
Fractional coordinates of all 6 atoms:
Sc  0.000  0.000  0.000  -0.25
Ru  0.750  0.750  0.750  1.70
Se  0.873  0.376  0.376  0.03
Se  0.376  0.376  0.873  0.03
Se  0.376  0.873  0.376  0.03
Se  0.376  0.376  0.376  0.03

Calculated total energy in eV per atom: -4.30
Uncorrected formation energy in meV per atom: 623

No. 9
Computed, not measured: a relaxed structure of ScRuSe2 at the GGA-PBE level of DFT.

Cell lengths 5.234, 5.234, 4.206 Å; angles 90.00, 90.00, 39.13 degrees
Fractional coordinates of all 4 atoms:
Ru  0.476  0.476  0.625
Sc  0.290  0.290  0.125
Se  0.003  0.003  0.125
Se  0.731  0.731  0.625

Energy above the most stable polymorph in this dataset in eV per formula unit: 0.20
Calculated total energy in eV per atom: -6.33
Uncorrected formation energy in meV per atom: -690

No. 10
Computed, not measured: a relaxed structure of Sc4RuSe at the GGA-PBE level of DFT.

Cell lengths 5.586, 5.586, 5.586 Å; angles 60.00, 60.00, 60.00 degrees
Site moments in Bohr magnetons follow the coordinates.
Fractional coordinates of all 6 atoms:
Sc  0.880  0.373  0.373  0.29
Sc  0.373  0.373  0.880  0.29
Sc  0.373  0.880  0.373  0.29
Sc  0.373  0.373  0.373  0.29
Ru  0.000  0.000  0.000  0.02
Se  0.750  0.750  0.750  -0.01

Energy above the most stable polymorph in this dataset in eV per formula unit: 6.33
Calculated total energy in eV per atom: -6.00
Uncorrected formation energy in meV per atom: 346

No. 11
Computed, not measured: a relaxed structure of ScRu2Se at the GGA-PBE level of DFT.

Cell lengths 3.149, 4.674, 4.300 Å; angles 90.00, 90.00, 90.00 degrees
Fractional coordinates of all 4 atoms:
Ru  0.000  0.000  0.000
Ru  0.500  0.500  0.000
Sc  0.500  0.000  0.500
Se  0.000  0.500  0.500

Calculated total energy in eV per atom: -7.27
Uncorrected formation energy in meV per atom: -179

No. 12
Computed, not measured: a relaxed structure of Sc2RuSe at the GGA-PBE level of DFT.

Cell lengths 4.281, 3.439, 5.284 Å; angles 71.02, 90.00, 90.00 degrees
Fractional coordinates of all 4 atoms:
Ru  0.500  0.533  0.811
Sc  0.000  0.985  0.905
Sc  0.500  0.273  0.327
Se  0.000  0.709  0.457

Calculated total energy in eV per atom: -7.30
Uncorrected formation energy in meV per atom: -945